# 1
# Zn3AgAu2 | the Alexandria database | GGA-PBE | optimized geometry
# - offset from the most stable computed form (kcal/mol of atoms) = 0.00
# - SG = Cmmm, No. 65
data_Zn3AgAu2
_chemical_formula_sum 'Zn3 Ag1 Au2'
_symmetry_space_group_name_H-M 'P 1'
_symmetry_Int_Tables_number 1
_symmetry_space_group_name_Hall 'P 1'
_cell_length_a 3.215
_cell_length_b 4.460
_cell_length_c 7.135
_cell_angle_alpha 108.21
_cell_angle_beta 90.00
_cell_angle_gamma 90.00
loop_
_atom_site_label
_atom_site_type_symbol
_atom_site_fract_x
_atom_site_fract_y
_atom_site_fract_z
Zn1 Zn 0.500 0.828 0.656
Ag1 Ag 0.000 0.000 0.000
Zn2 Zn 0.500 0.500 0.000
Au1 Au 0.000 0.661 0.321
Au2 Au 0.000 0.339 0.679
Zn3 Zn 0.500 0.172 0.344

***

# 2
# CsTaTiC2 | the Alexandria database | GGA-PBE | optimized geometry
# - SG = P4/mmm, No. 123
data_CsTaTiC2
_chemical_formula_sum 'Cs1 Ta1 Ti1 C2'
_symmetry_space_group_name_H-M 'P 1'
_symmetry_Int_Tables_number 1
_symmetry_space_group_name_Hall 'P 1'
_cell_length_a 4.368
_cell_length_b 5.128
_cell_length_c 4.368
_cell_angle_alpha 90.00
_cell_angle_beta 90.00
_cell_angle_gamma 90.00
loop_
_atom_site_label
_atom_site_type_symbol
_atom_site_fract_x
_atom_site_fract_y
_atom_site_fract_z
C1 C 0.000 0.000 0.500
Cs1 Cs 0.000 0.000 0.000
Ta1 Ta 0.500 0.500 0.500
C2 C 0.500 0.000 0.000
Ti1 Ti 0.000 0.500 0.000

***

# 3
# CuP3W | the Alexandria database | GGA-PBE | optimized geometry
# - offset from the most stable computed form (kcal/mol of atoms) = 12.63
# - SG = Pm-3m, No. 221
data_CuP3W
_chemical_formula_sum 'Cu1 P3 W1'
_symmetry_space_group_name_H-M 'P 1'
_symmetry_Int_Tables_number 1
_symmetry_space_group_name_Hall 'P 1'
_cell_length_a 4.348
_cell_length_b 4.348
_cell_length_c 4.348
_cell_angle_alpha 90.00
_cell_angle_beta 90.00
_cell_angle_gamma 90.00
loop_
_atom_site_label
_atom_site_type_symbol
_atom_site_fract_x
_atom_site_fract_y
_atom_site_fract_z
P1 P 0.000 0.500 0.000
P2 P 0.000 0.000 0.500
Cu1 Cu 0.000 0.000 0.000
P3 P 0.500 0.000 0.000
W1 W 0.500 0.500 0.500

***

# 4
# Ce6PuHg2C | the Alexandria database | GGA-PBE | optimized geometry
# - SG = Fm-3m, No. 225
data_Ce6PuHg2C
_chemical_formula_sum 'Ce6 Pu1 Hg2 C1'
_symmetry_space_group_name_H-M 'P 1'
_symmetry_Int_Tables_number 1
_symmetry_space_group_name_Hall 'P 1'
_cell_length_a 7.049
_cell_length_b 7.049
_cell_length_c 7.050
_cell_angle_alpha 60.02
_cell_angle_beta 60.02
_cell_angle_gamma 90.01
loop_
_atom_site_label
_atom_site_type_symbol
_atom_site_fract_x
_atom_site_fract_y
_atom_site_fract_z
Ce1 Ce 0.253 0.253 0.000
Ce2 Ce 0.747 0.747 0.506
C1 C 0.000 0.000 0.000
Hg1 Hg 0.750 0.250 0.500
Ce3 Ce 0.253 0.253 0.494
Pu1 Pu 0.500 0.500 0.000
Ce4 Ce 0.747 0.253 0.000
Ce5 Ce 0.747 0.747 0.000
Ce6 Ce 0.253 0.747 0.000
Hg2 Hg 0.250 0.750 0.500

***

# 5
# HoPuFeCo | the Alexandria database | GGA-PBE | optimized geometry
# - SG = F-43m, No. 216
data_HoPuFeCo
_chemical_formula_sum 'Ho1 Pu1 Fe1 Co1'
_symmetry_space_group_name_H-M 'P 1'
_symmetry_Int_Tables_number 1
_symmetry_space_group_name_Hall 'P 1'
_cell_length_a 4.695
_cell_length_b 4.695
_cell_length_c 4.695
_cell_angle_alpha 60.00
_cell_angle_beta 60.00
_cell_angle_gamma 60.00
loop_
_atom_site_label
_atom_site_type_symbol
_atom_site_fract_x
_atom_site_fract_y
_atom_site_fract_z
Co1 Co 0.250 0.250 0.250
Pu1 Pu 0.000 0.000 0.000
Fe1 Fe 0.750 0.750 0.750
Ho1 Ho 0.500 0.500 0.500

***

# 6
# SrReTc4 | the Alexandria database | GGA-PBE | optimized geometry
# - SG = F-43m, No. 216
data_SrReTc4
_chemical_formula_sum 'Sr1 Re1 Tc4'
_symmetry_space_group_name_H-M 'P 1'
_symmetry_Int_Tables_number 1
_symmetry_space_group_name_Hall 'P 1'
_cell_length_a 5.269
_cell_length_b 5.269
_cell_length_c 5.269
_cell_angle_alpha 60.00
_cell_angle_beta 60.00
_cell_angle_gamma 60.00
loop_
_atom_site_label
_atom_site_type_symbol
_atom_site_fract_x
_atom_site_fract_y
_atom_site_fract_z
Re1 Re 0.750 0.750 0.750
Tc1 Tc 0.874 0.375 0.375
Tc2 Tc 0.375 0.375 0.375
Tc3 Tc 0.375 0.375 0.874
Tc4 Tc 0.375 0.874 0.375
Sr1 Sr 0.000 0.000 0.000

***

# 7
# Pr8ScCd2 | the Alexandria database | GGA-PBE | optimized geometry
# - SG = C2/m, No. 12
data_Pr8ScCd2
_chemical_formula_sum 'Pr8 Sc1 Cd2'
_symmetry_space_group_name_H-M 'P 1'
_symmetry_Int_Tables_number 1
_symmetry_space_group_name_Hall 'P 1'
_cell_length_a 5.396
_cell_length_b 8.516
_cell_length_c 8.985
_cell_angle_alpha 113.00
_cell_angle_beta 107.48
_cell_angle_gamma 90.00
loop_
_atom_site_label
_atom_site_type_symbol
_atom_site_fract_x
_atom_site_fract_y
_atom_site_fract_z
Pr1 Pr 0.602 0.464 0.204
Sc1 Sc 0.500 0.000 0.000
Cd1 Cd 0.778 0.369 0.557
Pr2 Pr 0.144 0.201 0.287
Pr3 Pr 0.685 0.954 0.370
Pr4 Pr 0.856 0.799 0.713
Pr5 Pr 0.398 0.536 0.796
Pr6 Pr 0.315 0.046 0.630
Pr7 Pr 0.052 0.741 0.104
Cd2 Cd 0.222 0.631 0.443
Pr8 Pr 0.948 0.259 0.896

***

# 8
# BIrO2F | the Alexandria database | GGA-PBE | optimized geometry
# - formation energy without anion corrections (kJ/mol of formula units) = 174
# - SG = P4/mmm, No. 123
data_BIrO2F
_chemical_formula_sum 'B1 Ir1 O2 F1'
_symmetry_space_group_name_H-M 'P 1'
_symmetry_Int_Tables_number 1
_symmetry_space_group_name_Hall 'P 1'
_cell_length_a 3.783
_cell_length_b 3.783
_cell_length_c 4.679
_cell_angle_alpha 90.00
_cell_angle_beta 90.00
_cell_angle_gamma 90.00
loop_
_atom_site_label
_atom_site_type_symbol
_atom_site_fract_x
_atom_site_fract_y
_atom_site_fract_z
O1 O 0.500 0.000 0.000
O2 O 0.000 0.500 0.000
B1 B 0.500 0.500 0.500
Ir1 Ir 0.000 0.000 0.000
F1 F 0.000 0.000 0.500

***

# 9
# H3RuPt | the Alexandria database | GGA-PBE | optimized geometry
# - offset from the most stable computed form (kcal/mol of atoms) = 0.00
# - SG = Pm-3m, No. 221
data_H3RuPt
_chemical_formula_sum 'H3 Ru1 Pt1'
_symmetry_space_group_name_H-M 'P 1'
_symmetry_Int_Tables_number 1
_symmetry_space_group_name_Hall 'P 1'
_cell_length_a 3.423
_cell_length_b 3.423
_cell_length_c 3.423
_cell_angle_alpha 90.00
_cell_angle_beta 90.00
_cell_angle_gamma 90.00
loop_
_atom_site_label
_atom_site_type_symbol
_atom_site_fract_x
_atom_site_fract_y
_atom_site_fract_z
H1 H 0.500 0.000 0.000
Pt1 Pt 0.500 0.500 0.500
H2 H 0.000 0.000 0.500
Ru1 Ru 0.000 0.000 0.000
H3 H 0.000 0.500 0.000

***

# 10
# PIr3Os | the Alexandria database | GGA-PBE | optimized geometry
# - offset from the most stable computed form (kcal/mol of atoms) = 0.00
# - SG = Pm-3m, No. 221
data_PIr3Os
_chemical_formula_sum 'P1 Ir3 Os1'
_symmetry_space_group_name_H-M 'P 1'
_symmetry_Int_Tables_number 1
_symmetry_space_group_name_Hall 'P 1'
_cell_length_a 4.346
_cell_length_b 4.346
_cell_length_c 4.346
_cell_angle_alpha 90.00
_cell_angle_beta 90.00
_cell_angle_gamma 90.00
loop_
_atom_site_label
_atom_site_type_symbol
_atom_site_fract_x
_atom_site_fract_y
_atom_site_fract_z
Ir1 Ir 0.500 0.000 0.000
Os1 Os 0.500 0.500 0.500
P1 P 0.000 0.000 0.000
Ir2 Ir 0.000 0.000 0.500
Ir3 Ir 0.000 0.500 0.000

***

# 11
# PrNdAgTe | the Alexandria database | GGA-PBE | optimized geometry
# - formation energy without anion corrections (kJ/mol of formula units) = -252
# - SG = F-43m, No. 216
data_PrNdAgTe
_chemical_formula_sum 'Pr1 Nd1 Ag1 Te1'
_symmetry_space_group_name_H-M 'P 1'
_symmetry_Int_Tables_number 1
_symmetry_space_group_name_Hall 'P 1'
_cell_length_a 5.408
_cell_length_b 5.408
_cell_length_c 5.408
_cell_angle_alpha 60.00
_cell_angle_beta 60.00
_cell_angle_gamma 60.00
loop_
_atom_site_label
_atom_site_type_symbol
_atom_site_fract_x
_atom_site_fract_y
_atom_site_fract_z
Nd1 Nd 0.250 0.250 0.250
Te1 Te 0.000 0.000 0.000
Ag1 Ag 0.500 0.500 0.500
Pr1 Pr 0.750 0.750 0.750

***

# 12
# SiPb2Au | the Alexandria database | GGA-PBE | optimized geometry
# - formation energy without anion corrections (kJ/mol of formula units) = 54
# - SG = Cmm2, No. 35
data_SiPb2Au
_chemical_formula_sum 'Si1 Pb2 Au1'
_symmetry_space_group_name_H-M 'P 1'
_symmetry_Int_Tables_number 1
_symmetry_space_group_name_Hall 'P 1'
_cell_length_a 3.446
_cell_length_b 3.446
_cell_length_c 8.225
_cell_angle_alpha 90.00
_cell_angle_beta 90.00
_cell_angle_gamma 89.91
loop_
_atom_site_label
_atom_site_type_symbol
_atom_site_fract_x
_atom_site_fract_y
_atom_site_fract_z
Au1 Au 0.500 0.500 0.692
Si1 Si 0.000 0.000 0.557
Pb1 Pb 0.500 0.500 0.293
Pb2 Pb 0.000 0.000 0.958

***

Calculated values (eV/atom) of total energy for the records, taken in order: -2.3621 -4.0175 -5.3229 -6.3709 -8.6047 -8.6126 -4.2831 -5.1040 -4.7001 -7.5225 -4.5369 -3.8881.